# CaMg2PtN

An optimized crystal structure of CaMg2PtN (PBE, the Alexandria database).

a b c (Å): 4.2137 4.2137 4.8170
angles (deg): 90.00 90.00 90.00
Space group P4/mmm (No. 123)
One atom of each set of equivalent atoms:
Ca 0.0000 0.0000 0.0000 [1 per cell]
Mg 0.0000 0.5000 0.5000 [2 per cell]
Pt 0.5000 0.5000 0.0000 [1 per cell]
N 0.0000 0.0000 0.5000 [1 per cell]

- Total DFT energy (no corrections): -23.0 eV/cell
- Crystal system: tetragonal
- Density of states at the Fermi level: 0.342 states/eV per atom

# Ca2MgPtN

An optimized crystal structure of Ca2MgPtN (PBE, the Alexandria database).

a b c (Å): 4.8465 4.8465 4.1326
angles (deg): 90.00 90.00 90.00
Space group P4/mmm (No. 123)
One atom of each set of equivalent atoms:
Ca 0.0000 0.5000 0.0000 [2 per cell]
Mg 0.0000 0.0000 0.5000 [1 per cell]
Pt 0.5000 0.5000 0.5000 [1 per cell]
N 0.0000 0.0000 0.0000 [1 per cell]

- Total DFT energy (no corrections): -23.7 eV/cell
- Crystal system: tetragonal
- Density of states at the Fermi level: 0.314 states/eV per atom

# Ca3Pu3MgN8

An optimized crystal structure of Ca3Pu3MgN8 (PBE, the Alexandria database).

a b c (Å): 6.7754 6.7754 16.9124
angles (deg): 90.00 90.00 120.00
Space group R-3 (No. 148, hexagonal axes)
One atom of each set of equivalent atoms:
Ca 0.0000 0.5000 0.0000 [9 per cell]
Pu 0.0000 0.5000 0.5000 [9 per cell]
Mg 0.0000 0.0000 0.5000 [3 per cell]
N 0.0000 0.0000 0.2431 [6 per cell]
N 0.0084 0.5349 0.7690 [18 per cell]

- Total DFT energy (no corrections): -392.6 eV/cell
- Crystal system: trigonal
- Density of states at the Fermi level: 1.038 states/eV per atom

# Ca2PuMg2N4

An optimized crystal structure of Ca2PuMg2N4 (PBE, the Alexandria database).

a b c (Å): 11.6120 3.4728 8.3288
angles (deg): 90.00 125.79 90.00
Space group C2/m (No. 12)
One atom of each set of equivalent atoms:
Ca 0.1817 0.0000 0.2855 [4 per cell]
Pu 0.0000 0.0000 0.5000 [2 per cell]
Mg 0.1339 0.5000 0.8780 [4 per cell]
N 0.0769 0.5000 0.3951 [4 per cell]
N 0.2103 0.0000 0.8051 [4 per cell]

- Total DFT energy (no corrections): -126.8 eV/cell
- Crystal system: monoclinic
- Density of states at the Fermi level: 0.724 states/eV per atom

# CaPuMgN3

An optimized crystal structure of CaPuMgN3 (PBE, the Alexandria database).

a b c (Å): 5.8541 3.4355 8.0241
angles (deg): 90.00 91.62 90.00
Space group P2_1/m (No. 11)
One atom of each set of equivalent atoms:
Ca 0.0815 0.2500 0.1764 [2 per cell]
Pu 0.4166 0.2500 0.8155 [2 per cell]
Mg 0.2418 0.7500 0.5037 [2 per cell]
N 0.1085 0.2500 0.6627 [2 per cell]
N 0.2921 0.7500 0.9910 [2 per cell]
N 0.4370 0.2500 0.3279 [2 per cell]

- Total DFT energy (no corrections): -97.8 eV/cell
- Crystal system: monoclinic
- Density of states at the Fermi level: 0.775 states/eV per atom

# Ca3Mg2ReN6

An optimized crystal structure of Ca3Mg2ReN6 (PBE, the Alexandria database).

a b c (Å): 5.5892 9.6798 5.7368
angles (deg): 90.00 108.93 90.00
Space group C2/m (No. 12)
One atom of each set of equivalent atoms:
Ca 0.0000 0.0000 0.0000 [2 per cell]
Ca 0.0000 0.3298 0.0000 [4 per cell]
Mg 0.0000 0.1664 0.5000 [4 per cell]
Re 0.0000 0.5000 0.5000 [2 per cell]
N 0.2235 0.3479 0.7127 [8 per cell]
N 0.2311 0.5000 0.2890 [4 per cell]

- Total DFT energy (no corrections): -157.2 eV/cell
- Crystal system: monoclinic
- Density of states at the Fermi level: 0.705 states/eV per atom

# Ca2MgReN4

An optimized crystal structure of Ca2MgReN4 (PBE, the Alexandria database).

a b c (Å): 7.2048 6.3377 5.5683
angles (deg): 90.00 90.00 90.00
Space group Pmn2_1 (No. 31)
One atom of each set of equivalent atoms:
Ca 0.2469 0.1762 0.0000 [4 per cell]
Mg 0.0000 0.3418 0.5109 [2 per cell]
Re 0.0000 0.6672 0.0199 [2 per cell]
N 0.0000 0.4021 0.8820 [2 per cell]
N 0.0000 0.6385 0.3487 [2 per cell]
N 0.2241 0.8048 0.9397 [4 per cell]

- Total DFT energy (no corrections): -114.3 eV/cell
- Crystal system: orthorhombic
- Density of states at the Fermi level: 0.459 states/eV per atom

# CaMgRu2N

An optimized crystal structure of CaMgRu2N (PBE, the Alexandria database).

a b c (Å): 4.1837 4.1837 4.3036
angles (deg): 90.00 90.00 90.00
Space group P4/mmm (No. 123)
One atom of each set of equivalent atoms:
Ca 0.0000 0.0000 0.0000 [1 per cell]
Mg 0.5000 0.5000 0.0000 [1 per cell]
Ru 0.0000 0.5000 0.5000 [2 per cell]
N 0.5000 0.5000 0.5000 [1 per cell]

- Total DFT energy (no corrections): -30.1 eV/cell
- Crystal system: tetragonal
- Density of states at the Fermi level: 0.868 states/eV per atom

# Ca2MgRuN

An optimized crystal structure of Ca2MgRuN (PBE, the Alexandria database).

a b c (Å): 5.0978 5.0978 3.8625
angles (deg): 90.00 90.00 90.00
Space group P4/mmm (No. 123)
One atom of each set of equivalent atoms:
Ca 0.0000 0.5000 0.0000 [2 per cell]
Mg 0.0000 0.0000 0.5000 [1 per cell]
Ru 0.5000 0.5000 0.5000 [1 per cell]
N 0.5000 0.5000 0.0000 [1 per cell]

- Total DFT energy (no corrections): -25.0 eV/cell
- Crystal system: tetragonal
- Density of states at the Fermi level: 0.558 states/eV per atom

# CaMgSN2

An optimized crystal structure of CaMgSN2 (PBE, the Alexandria database).

a b c (Å): 4.4284 4.4284 5.4720
angles (deg): 90.00 90.00 90.00
Space group P4/mmm (No. 123)
One atom of each set of equivalent atoms:
Ca 0.0000 0.0000 0.0000 [1 per cell]
Mg 0.5000 0.5000 0.5000 [1 per cell]
S 0.0000 0.0000 0.5000 [1 per cell]
N 0.0000 0.5000 0.0000 [2 per cell]

- Crystal system: tetragonal
- Density of states at the Fermi level: 0.225 states/eV per atom
- Excess energy over the best structure of this formula in the dataset: 315 kJ/mol of formula units

# CaMgSN2

An optimized crystal structure of CaMgSN2 (PBE, the Alexandria database).

a b c (Å): 4.1615 4.1615 5.0498
angles (deg): 90.00 90.00 90.00
Space group P4/mmm (No. 123)
One atom of each set of equivalent atoms:
Ca 0.0000 0.0000 0.0000 [1 per cell]
Mg 0.5000 0.5000 0.5000 [1 per cell]
S 0.5000 0.5000 0.0000 [1 per cell]
N 0.0000 0.5000 0.5000 [2 per cell]

- Crystal system: tetragonal
- Density of states at the Fermi level: 0.429 states/eV per atom
- Excess energy over the best structure of this formula in the dataset: 0 kJ/mol of formula units

# Ca2MgScN

An optimized crystal structure of Ca2MgScN (PBE, the Alexandria database).

a b c (Å): 5.1558 5.1558 4.3434
angles (deg): 90.00 90.00 90.00
Space group P4/mmm (No. 123)
One atom of each set of equivalent atoms:
Ca 0.0000 0.5000 0.0000 [2 per cell]
Mg 0.0000 0.0000 0.5000 [1 per cell]
Sc 0.5000 0.5000 0.5000 [1 per cell]
N 0.5000 0.5000 0.0000 [1 per cell]

- Total DFT energy (no corrections): -23.0 eV/cell
- Crystal system: tetragonal
- Density of states at the Fermi level: 0.960 states/eV per atom